1.
Computed, not measured: an optimized crystal structure of Ag2SbAu at the PBE level of DFT.

- Energy: -13.0 eV per cell
- Raw formation energy: 0.02 eV/atom
- SG: I4/mmm (139)

a = 5.2513 Å, b = 5.2513 Å, c = 5.2513 Å
α = 131.39°, β = 131.39°, γ = 71.19°
Closest atoms and distances in Å follow each position.
Sites, in units of the cell vectors:
Ag1 0.2500 0.7500 0.5000  4 Au 3.04, 4 Sb 3.04, 4 Ag 3.06
Ag2 0.7500 0.2500 0.5000  4 Au 3.04, 4 Sb 3.04, 4 Ag 3.06
Sb1 0.0000 0.0000 0.0000  8 Ag 3.04, 4 Au 3.06
Au1 0.5000 0.5000 0.0000  8 Ag 3.04, 4 Sb 3.06

***

2.
Computed, not measured: an optimized crystal structure of TbPm3Pr4Te8 at the PBE level of DFT.

- Energy: -85.7 eV per cell
- Raw formation energy: -1.41 eV/atom
- SG: R-3m (166)

a = 8.9994 Å, b = 8.9994 Å, c = 8.9994 Å
α = 59.67°, β = 59.67°, γ = 59.67°
Closest atoms and distances in Å follow each position.
Sites, in units of the cell vectors:
Tb1 0.0000 0.0000 0.0000  6 Te 3.12
Pm1 0.0000 0.5000 0.5000  6 Te 3.15
Pm2 0.5000 0.0000 0.5000  6 Te 3.15
Pm3 0.5000 0.5000 0.0000  6 Te 3.15
Pr1 0.0000 0.0000 0.5000  6 Te 3.20
Pr2 0.0000 0.5000 0.0000  6 Te 3.20
Pr3 0.5000 0.0000 0.0000  6 Te 3.20
Pr4 0.5000 0.5000 0.5000  6 Te 3.23
Te1 0.2454 0.2454 0.7512  1 Tb 3.12, 2 Pm 3.15, 3 Pr 3.20-3.23
Te2 0.2454 0.7512 0.2454  1 Tb 3.12, 2 Pm 3.15, 3 Pr 3.20-3.23
Te3 0.2488 0.7546 0.7546  1 Tb 3.12, 2 Pm 3.15, 3 Pr 3.20-3.23
Te4 0.2518 0.2518 0.2518  3 Pm 3.15, 3 Pr 3.20
Te5 0.7482 0.7482 0.7482  3 Pm 3.15, 3 Pr 3.20
Te6 0.7512 0.2454 0.2454  1 Tb 3.12, 2 Pm 3.15, 3 Pr 3.20-3.23
Te7 0.7546 0.2488 0.7546  1 Tb 3.12, 2 Pm 3.15, 3 Pr 3.20-3.23
Te8 0.7546 0.7546 0.2488  1 Tb 3.12, 2 Pm 3.15, 3 Pr 3.20-3.23

***

3.
Computed, not measured: an optimized crystal structure of CeGdMgAg at the PBE level of DFT.

- Energy: -24.6 eV per cell
- SG: F-43m (216)

a = 5.3203 Å, b = 5.3203 Å, c = 5.3203 Å
α = 60.00°, β = 60.00°, γ = 60.00°
Closest atoms and distances in Å follow each position.
Sites, in units of the cell vectors:
Ce1 0.0000 0.0000 0.0000  4 Mg 3.26, 4 Ag 3.26
Gd1 0.5000 0.5000 0.5000  4 Mg 3.26, 4 Ag 3.26
Mg1 0.7500 0.7500 0.7500  4 Gd 3.26, 4 Ce 3.26
Ag1 0.2500 0.2500 0.2500  4 Gd 3.26, 4 Ce 3.26

***

4.
Computed, not measured: an optimized crystal structure of La4PrSe7 at the PBE level of DFT.

- Energy: -72.8 eV per cell
- Raw formation energy: -1.99 eV/atom
- SG: Cm (8)

a = 7.3993 Å, b = 7.3993 Å, c = 12.6130 Å
α = 104.49°, β = 104.49°, γ = 32.94°
Closest atoms and distances in Å follow each position.
Sites, in units of the cell vectors:
La1 0.0000 0.0000 0.0000  6 Se 2.95-3.08
La2 0.1892 0.1892 0.7662  7 Se 3.00-3.22
La3 0.5866 0.5866 0.3858  7 Se 3.01-3.23
La4 0.8877 0.8877 0.5760  6 Se 2.94-3.03
Pr1 0.7745 0.7745 0.1546  6 Se 2.93-3.07
Se1 0.1496 0.1496 0.2262  2 Pr 3.03, 3 La 3.08-3.19
Se2 0.2280 0.2280 0.5259  5 La 3.03-3.22
Se3 0.3857 0.3857 0.0761  2 Pr 2.95, 2 La 2.96
Se4 0.5474 0.5474 0.6271  5 La 3.03-3.23
Se5 0.6267 0.6267 0.9282  4 La 3.05-3.21, 1 Pr 3.07
Se6 0.8448 0.8448 0.7920  4 La 2.94-3.00
Se7 0.9302 0.9302 0.3600  1 Pr 2.93, 3 La 2.94-3.01

***

The evaluated M_tot for the records listed, in turn: 0.000, 0.000, 2.204, 0.000 μB per atom.